Material: Ba2ScTcS6
Method: DFT, PBE
State: optimized geometry

Lattice parameters (Å, degrees): 6.9132 6.9132 9.7818 90.00 90.00 90.00
Space group I4/m (No. 87)
Asymmetric unit:
1 Ba 0.0000 0.5000 0.2500 (multiplicity 4)
2 Sc 0.0000 0.0000 0.0000 (multiplicity 2)
3 Tc 0.0000 0.0000 0.5000 (multiplicity 2)
4 S 0.0000 0.0000 0.2565 (multiplicity 4)
5 S 0.2372 0.2498 0.5000 (multiplicity 8)

Final energy in eV/atom: -5.86